VASP calculation (GGA-PBE) on a relaxed Pm5Ho3Tm crystal.

Results
ΔE_f, kJ per mole of atoms: 30.5
Total magnetization, μB per cell: 0.000
VASP energy, eV/atom: -4.346
Space-group type: No. 140

abc: 9.6629 9.6629 9.6629
angles: 122.70 122.70 85.38
Fractional coordinates of all 18 atoms:
Pm  0.0000  0.0000  0.0000
Pm  0.0698  0.5698  0.9042
Pm  0.1657  0.0698  0.5000
Pm  0.3343  0.8343  0.9042
Pm  0.4302  0.3343  0.5000
Pm  0.5000  0.5000  0.0000
Pm  0.5698  0.6657  0.5000
Pm  0.6657  0.1657  0.0958
Pm  0.8343  0.9302  0.5000
Pm  0.9302  0.4302  0.0958
Ho  0.1099  0.3901  0.5000
Ho  0.2500  0.2500  0.0000
Ho  0.3901  0.8901  0.2803
Ho  0.6099  0.1099  0.7197
Ho  0.7500  0.7500  0.0000
Ho  0.8901  0.6099  0.5000
Tm  0.2500  0.7500  0.5000
Tm  0.7500  0.2500  0.5000

VASP calculation (GGA-PBE) on a relaxed PmHo4Tm8 crystal.

Results
ΔE_f, kJ per mole of atoms: 20.7
Total magnetization, μB per cell: 0.000
VASP energy, eV/atom: -4.311
Space-group type: No. 12

abc: 7.2182 7.2182 9.8182
angles: 111.51 111.51 60.07
Fractional coordinates of all 13 atoms:
Pm  0.0000  0.0000  0.0000
Ho  0.0000  0.0000  0.5000
Ho  0.0000  0.5000  0.5000
Ho  0.5000  0.0000  0.5000
Ho  0.5000  0.5000  0.5000
Tm  0.2504  0.2504  0.1936
Tm  0.2506  0.6926  0.1933
Tm  0.2814  0.2814  0.8449
Tm  0.3074  0.7494  0.8067
Tm  0.6926  0.2506  0.1933
Tm  0.7186  0.7186  0.1551
Tm  0.7494  0.3074  0.8067
Tm  0.7496  0.7496  0.8064

VASP calculation (GGA-PBE) on a relaxed PmHo2Tm5 crystal.

Results
ΔE_f, kJ per mole of atoms: 14.7
Total magnetization, μB per cell: 0.000
VASP energy, eV/atom: -4.381
Space-group type: No. 2

abc: 6.6752 9.2304 9.3536
angles: 61.56 88.20 87.79
Fractional coordinates of all 16 atoms:
Pm  0.2434  0.0383  0.4545
Pm  0.7566  0.9617  0.5455
Ho  0.0809  0.6251  0.5705
Ho  0.4180  0.3160  0.5599
Ho  0.5820  0.6840  0.4401
Ho  0.9191  0.3749  0.4295
Tm  0.0829  0.0567  0.8128
Tm  0.1071  0.3327  0.0658
Tm  0.2803  0.6513  0.1768
Tm  0.4071  0.6636  0.8123
Tm  0.4114  0.0440  0.1218
Tm  0.5886  0.9560  0.8782
Tm  0.5929  0.3364  0.1877
Tm  0.7197  0.3487  0.8232
Tm  0.8929  0.6673  0.9342
Tm  0.9171  0.9433  0.1872

VASP calculation (GGA-PBE) on a relaxed Pm15Ho4Tm crystal.

Results
ΔE_f, kJ per mole of atoms: 1.2
Total magnetization, μB per cell: 0.000
VASP energy, eV/atom: -4.689
Space-group type: No. 123

abc: 5.1190 5.1190 25.4944
angles: 90.00 90.00 90.00
Fractional coordinates of all 20 atoms:
Pm  0.0000  0.0000  0.0000
Pm  0.0000  0.0000  0.1997
Pm  0.0000  0.0000  0.3999
Pm  0.0000  0.0000  0.6001
Pm  0.0000  0.0000  0.8003
Pm  0.0000  0.5000  0.0996
Pm  0.0000  0.5000  0.2998
Pm  0.0000  0.5000  0.5000
Pm  0.0000  0.5000  0.7002
Pm  0.0000  0.5000  0.9004
Pm  0.5000  0.0000  0.0996
Pm  0.5000  0.0000  0.2998
Pm  0.5000  0.0000  0.5000
Pm  0.5000  0.0000  0.7002
Pm  0.5000  0.0000  0.9004
Ho  0.5000  0.5000  0.1997
Ho  0.5000  0.5000  0.3999
Ho  0.5000  0.5000  0.6001
Ho  0.5000  0.5000  0.8003
Tm  0.5000  0.5000  0.0000

VASP calculation (GGA-PBE) on a relaxed Pm3HoTm crystal.

Results
ΔE_f, kJ per mole of atoms: 4.5
Total magnetization, μB per cell: 0.000
VASP energy, eV/atom: -4.613
Space-group type: No. 8

abc: 8.7960 8.7960 7.0788
angles: 101.48 101.48 37.75
Fractional coordinates of all 10 atoms:
Pm  0.0000  0.0000  0.0000
Pm  0.0037  0.0037  0.4932
Pm  0.1947  0.1947  0.3365
Pm  0.3901  0.3901  0.4344
Pm  0.5786  0.5786  0.7867
Pm  0.7888  0.7888  0.6435
Ho  0.3873  0.3873  0.9408
Ho  0.5821  0.5821  0.2852
Tm  0.1909  0.1909  0.8412
Tm  0.7884  0.7884  0.1344

VASP calculation (GGA-PBE) on a relaxed Pm7Ho12Tm crystal.

Results
ΔE_f, kJ per mole of atoms: 9.4
Total magnetization, μB per cell: 0.002
VASP energy, eV/atom: -4.535
Space-group type: No. 166

abc: 8.7533 8.7533 8.7533
angles: 97.93 97.93 97.93
Fractional coordinates of all 20 atoms:
Pm  0.0000  0.0000  0.0000
Pm  0.0905  0.3621  0.3621
Pm  0.3621  0.0905  0.3621
Pm  0.3621  0.3621  0.0905
Pm  0.6379  0.6379  0.9095
Pm  0.6379  0.9095  0.6379
Pm  0.9095  0.6379  0.6379
Ho  0.0990  0.0990  0.6591
Ho  0.0990  0.6591  0.0990
Ho  0.2383  0.5000  0.7617
Ho  0.2383  0.7617  0.5000
Ho  0.3409  0.9010  0.9010
Ho  0.5000  0.2383  0.7617
Ho  0.5000  0.7617  0.2383
Ho  0.6591  0.0990  0.0990
Ho  0.7617  0.2383  0.5000
Ho  0.7617  0.5000  0.2383
Ho  0.9010  0.3409  0.9010
Ho  0.9010  0.9010  0.3409
Tm  0.5000  0.5000  0.5000

VASP calculation (GGA-PBE) on a relaxed Pm6HoTm6 crystal.

Results
ΔE_f, kJ per mole of atoms: 21.1
Total magnetization, μB per cell: 0.000
VASP energy, eV/atom: -4.390
Space-group type: No. 65

abc: 6.5728 6.5728 11.0549
angles: 90.00 90.00 114.97
Fractional coordinates of all 13 atoms:
Pm  0.0000  0.0000  0.1742
Pm  0.0000  0.0000  0.8258
Pm  0.2628  0.7372  0.0000
Pm  0.3579  0.6421  0.5000
Pm  0.6421  0.3579  0.5000
Pm  0.7372  0.2628  0.0000
Ho  0.0000  0.0000  0.5000
Tm  0.0000  0.5000  0.2758
Tm  0.0000  0.5000  0.7242
Tm  0.5000  0.0000  0.2758
Tm  0.5000  0.0000  0.7242
Tm  0.5000  0.5000  0.1981
Tm  0.5000  0.5000  0.8019

VASP calculation (GGA-PBE) on a relaxed PmHo2Tm4 crystal.

Results
ΔE_f, kJ per mole of atoms: 7.5
Total magnetization, μB per cell: 0.000
VASP energy, eV/atom: -4.464
Space-group type: No. 1

abc: 5.9759 8.3912 9.7690
angles: 85.02 72.34 69.17
Fractional coordinates of all 14 atoms:
Pm  0.0000  0.0000  0.0000
Pm  0.2874  0.1439  0.2788
Ho  0.1042  0.5720  0.1393
Ho  0.1132  0.5035  0.5009
Ho  0.3022  0.0722  0.6393
Ho  0.4062  0.6405  0.7776
Tm  0.4803  0.2212  0.9148
Tm  0.5107  0.7167  0.4168
Tm  0.5470  0.7810  0.0618
Tm  0.6778  0.3630  0.2161
Tm  0.7238  0.2849  0.5614
Tm  0.8583  0.8594  0.7174
Tm  0.9029  0.9232  0.3640
Tm  0.9338  0.4274  0.8616

VASP calculation (GGA-PBE) on a relaxed Pm6Ho2Tm3 crystal.

Results
ΔE_f, kJ per mole of atoms: 29.4
Total magnetization, μB per cell: 0.000
VASP energy, eV/atom: -4.339
Space-group type: No. 139

abc: 17.0961 17.0961 17.0961
angles: 164.04 164.04 22.64
Fractional coordinates of all 11 atoms:
Pm  0.1205  0.6205  0.5000
Pm  0.2012  0.2012  0.0000
Pm  0.3795  0.8795  0.5000
Pm  0.6205  0.1205  0.5000
Pm  0.7988  0.7988  0.0000
Pm  0.8795  0.3795  0.5000
Ho  0.0453  0.0453  0.0000
Ho  0.9547  0.9547  0.0000
Tm  0.3033  0.3033  0.0000
Tm  0.5000  0.5000  0.0000
Tm  0.6967  0.6967  0.0000

VASP calculation (GGA-PBE) on a relaxed Pm6Ho2Tm crystal.

Results
ΔE_f, kJ per mole of atoms: 12.6
Total magnetization, μB per cell: 0.000
VASP energy, eV/atom: -4.551
Space-group type: No. 65

abc: 9.9614 9.9614 3.6462
angles: 90.00 90.00 123.94
Fractional coordinates of all 9 atoms:
Pm  0.0108  0.3410  0.0000
Pm  0.1852  0.1852  0.5000
Pm  0.3410  0.0108  0.0000
Pm  0.6590  0.9892  0.0000
Pm  0.8148  0.8148  0.5000
Pm  0.9892  0.6590  0.0000
Ho  0.3236  0.6764  0.5000
Ho  0.6764  0.3236  0.5000
Tm  0.5000  0.5000  0.0000

VASP calculation (GGA-PBE) on a relaxed Pm4HoTm3 crystal.

Results
ΔE_f, kJ per mole of atoms: 19.3
Total magnetization, μB per cell: 0.000
VASP energy, eV/atom: -4.425
Space-group type: No. 65

abc: 13.2156 13.2156 3.6240
angles: 90.00 90.00 155.35
Fractional coordinates of all 8 atoms:
Pm  0.1026  0.8974  0.0000
Pm  0.2229  0.7771  0.0000
Pm  0.7771  0.2229  0.0000
Pm  0.8974  0.1026  0.0000
Ho  0.0000  0.0000  0.5000
Tm  0.3489  0.6511  0.5000
Tm  0.5000  0.5000  0.0000
Tm  0.6511  0.3489  0.5000

VASP calculation (GGA-PBE) on a relaxed PmHoTm2 crystal.

Results
ΔE_f, kJ per mole of atoms: 2.3
Total magnetization, μB per cell: 0.000
VASP energy, eV/atom: -4.544
Space-group type: No. 166

abc: 11.6703 11.6703 11.6703
angles: 17.45 17.45 17.45
Fractional coordinates of all 4 atoms:
Pm  0.0000  0.0000  0.0000
Ho  0.5000  0.5000  0.5000
Tm  0.2489  0.2489  0.2489
Tm  0.7511  0.7511  0.7511

VASP calculation (GGA-PBE) on a relaxed Pm5Ho3Tm crystal.

Results
ΔE_f, kJ per mole of atoms: 16.7
Total magnetization, μB per cell: 0.000
VASP energy, eV/atom: -4.489
Space-group type: No. 15

abc: 8.8679 8.8679 11.5722
angles: 108.81 108.81 44.60
Fractional coordinates of all 18 atoms:
Pm  0.1092  0.1116  0.5508
Pm  0.1116  0.1092  0.0508
Pm  0.1886  0.8114  0.7500
Pm  0.2420  0.4153  0.6558
Pm  0.4153  0.2420  0.1558
Pm  0.5847  0.7580  0.8442
Pm  0.7580  0.5847  0.3442
Pm  0.8114  0.1886  0.2500
Pm  0.8884  0.8908  0.9492
Pm  0.8908  0.8884  0.4492
Ho  0.1425  0.3347  0.8728
Ho  0.3347  0.1425  0.3728
Ho  0.5000  0.5000  0.0000
Ho  0.5000  0.5000  0.5000
Ho  0.6653  0.8575  0.6272
Ho  0.8575  0.6653  0.1272
Tm  0.2616  0.7384  0.2500
Tm  0.7384  0.2616  0.7500

VASP calculation (GGA-PBE) on a relaxed Pm3HoTm7 crystal.

Results
ΔE_f, kJ per mole of atoms: 15.3
Total magnetization, μB per cell: 0.000
VASP energy, eV/atom: -4.399
Space-group type: No. 10

abc: 6.8987 5.4586 9.9156
angles: 90.00 109.33 90.00
Fractional coordinates of all 11 atoms:
Pm  0.0000  0.0000  0.0000
Pm  0.2809  0.5000  0.4952
Pm  0.7191  0.5000  0.5048
Ho  0.5000  0.0000  0.0000
Tm  0.0000  0.0000  0.5000
Tm  0.1499  0.5000  0.7891
Tm  0.3205  0.5000  0.1374
Tm  0.4255  0.0000  0.3296
Tm  0.5745  0.0000  0.6704
Tm  0.6795  0.5000  0.8626
Tm  0.8501  0.5000  0.2109

VASP calculation (GGA-PBE) on a relaxed PmHo7Tm4 crystal.

Results
ΔE_f, kJ per mole of atoms: -0.2
Total magnetization, μB per cell: 0.000
VASP energy, eV/atom: -4.559
Space-group type: No. 2

abc: 6.1458 7.1021 8.7431
angles: 90.01 103.57 90.00
Fractional coordinates of all 12 atoms:
Pm  0.0000  0.0000  0.0000
Ho  0.0000  0.5000  0.0000
Ho  0.2228  0.0003  0.6649
Ho  0.2789  0.7483  0.3359
Ho  0.4997  0.2514  0.0003
Ho  0.5003  0.7486  0.9997
Ho  0.7211  0.2517  0.6641
Ho  0.7772  0.9997  0.3351
Tm  0.2210  0.5001  0.6649
Tm  0.2783  0.2515  0.3355
Tm  0.7217  0.7485  0.6645
Tm  0.7790  0.4999  0.3351

VASP calculation (GGA-PBE) on a relaxed Pm2HoTm4 crystal.

Results
ΔE_f, kJ per mole of atoms: 24.8
Total magnetization, μB per cell: 0.000
VASP energy, eV/atom: -4.309
Space-group type: No. 139

abc: 6.7505 6.7505 6.7505
angles: 103.19 103.19 122.92
Fractional coordinates of all 7 atoms:
Pm  0.2500  0.7500  0.5000
Pm  0.7500  0.2500  0.5000
Ho  0.0000  0.0000  0.0000
Tm  0.3032  0.3032  0.6065
Tm  0.3032  0.6968  0.0000
Tm  0.6968  0.3032  0.0000
Tm  0.6968  0.6968  0.3935

VASP calculation (GGA-PBE) on a relaxed Pm4Ho2Tm5 crystal.

Results
ΔE_f, kJ per mole of atoms: 10.3
Total magnetization, μB per cell: 0.000
VASP energy, eV/atom: -4.486
Space-group type: No. 12

abc: 9.9288 9.9288 6.5601
angles: 90.99 90.99 32.89
Fractional coordinates of all 11 atoms:
Pm  0.0218  0.0218  0.2850
Pm  0.3058  0.3058  0.9264
Pm  0.6942  0.6942  0.0736
Pm  0.9782  0.9782  0.7150
Ho  0.4012  0.4012  0.4448
Ho  0.5988  0.5988  0.5552
Tm  0.1305  0.1305  0.8875
Tm  0.2091  0.2091  0.4016
Tm  0.5000  0.5000  0.0000
Tm  0.7909  0.7909  0.5984
Tm  0.8695  0.8695  0.1125

VASP calculation (GGA-PBE) on a relaxed Pm3Ho7Tm2 crystal.

Results
ΔE_f, kJ per mole of atoms: 22.5
Total magnetization, μB per cell: 0.003
VASP energy, eV/atom: -4.370
Space-group type: No. 10

abc: 3.6019 5.5452 20.4552
angles: 90.00 95.12 90.00
Fractional coordinates of all 12 atoms:
Pm  0.0000  0.0000  0.0000
Pm  0.3268  0.5000  0.6600
Pm  0.6732  0.5000  0.3400
Ho  0.0886  0.5000  0.1719
Ho  0.2155  0.0000  0.4305
Ho  0.4301  0.0000  0.8649
Ho  0.5000  0.5000  0.0000
Ho  0.5699  0.0000  0.1351
Ho  0.7845  0.0000  0.5695
Ho  0.9114  0.5000  0.8281
Tm  0.1405  0.0000  0.2736
Tm  0.8595  0.0000  0.7264

VASP calculation (GGA-PBE) on a relaxed Pm3Ho3Tm crystal.

Results
ΔE_f, kJ per mole of atoms: 1.8
Total magnetization, μB per cell: 0.000
VASP energy, eV/atom: -4.618
Space-group type: No. 176

abc: 9.5876 9.5876 5.7251
angles: 90.00 90.00 120.00
Fractional coordinates of all 14 atoms:
Pm  0.0486  0.8061  0.2500
Pm  0.1939  0.2425  0.2500
Pm  0.2425  0.0486  0.7500
Pm  0.7575  0.9514  0.2500
Pm  0.8061  0.7575  0.7500
Pm  0.9514  0.1939  0.7500
Ho  0.0952  0.6169  0.7500
Ho  0.3831  0.4783  0.7500
Ho  0.4783  0.0952  0.2500
Ho  0.5217  0.9048  0.7500
Ho  0.6169  0.5217  0.2500
Ho  0.9048  0.3831  0.2500
Tm  0.3333  0.6667  0.2500
Tm  0.6667  0.3333  0.7500

VASP calculation (GGA-PBE) on a relaxed Pm3Ho4Tm4 crystal.

Results
ΔE_f, kJ per mole of atoms: 5.8
Total magnetization, μB per cell: 0.000
VASP energy, eV/atom: -4.527
Space-group type: No. 2

abc: 3.4691 5.6145 18.1400
angles: 81.10 84.52 90.00
Fractional coordinates of all 11 atoms:
Pm  0.0000  0.0000  0.0000
Pm  0.1364  0.6364  0.7264
Pm  0.8636  0.3636  0.2736
Ho  0.2660  0.2664  0.4674
Ho  0.4091  0.9098  0.1819
Ho  0.5909  0.0902  0.8181
Ho  0.7340  0.7336  0.5326
Tm  0.3189  0.8186  0.3632
Tm  0.4549  0.4549  0.0912
Tm  0.5451  0.5451  0.9088
Tm  0.6811  0.1814  0.6368